VASP calculation (GGA-PBE) on a relaxed BaNdUN4 crystal.

The structure belongs to space group Cmcm (No. 63); the cell edges are 6.113, 12.980 and 6.131 Å and the angles 90.00°, 90.00° and 90.00°. The asymmetric unit holds Ba at (0.000, 0.099, 0.250), Nd at (0.000, 0.391, 0.250), U at (0.000, 0.256, 0.750), N at (0.000, 0.101, 0.750), N at (0.000, 0.424, 0.750) and N at (0.250, 0.250, 0.000).

The calculation puts the uncorrected formation energy at -972 meV per atom. As for the total energy: -232.35 eV/cell. The size of the total moment comes out at 1.6 μB/cell. For the calculated volume, the calculation gives 17.4 Å³/atom.

VASP calculation (GGA-PBE) on a relaxed Ba2NdUN4 crystal.

The structure belongs to space group P2/m (No. 10); the cell edges are 6.296, 3.679 and 6.777 Å and the angles 90.00°, 108.22° and 90.00°. The asymmetric unit holds Ba at (0.000, 0.000, 0.000), Ba at (0.500, 0.500, 0.000), Nd at (0.000, 0.500, 0.500), U at (0.500, 0.000, 0.500), N at (0.273, 0.000, 0.677) and N at (0.300, 0.500, 0.321).

The calculation puts the uncorrected formation energy at -1058 meV per atom. As for the total energy: -61.66 eV/cell. The size of the total moment comes out at 0.0 μB/cell. For the calculated volume, the calculation gives 18.6 Å³/atom.

VASP calculation (GGA-PBE) on a relaxed BaNdVN3 crystal.

The structure belongs to space group C2/m (No. 12); the cell edges are 13.571, 3.914 and 7.808 Å and the angles 90.00°, 106.08° and 90.00°. The asymmetric unit holds Ba at (0.142, 0.000, 0.073), Nd at (0.155, 0.000, 0.577), V at (0.001, 0.500, 0.309), N at (0.003, 0.000, 0.317), N at (0.142, 0.500, 0.799) and N at (0.151, 0.500, 0.345).

The calculation puts the uncorrected formation energy at -882 meV per atom. As for the total energy: -184.32 eV/cell. The size of the total moment comes out at 0.0 μB/cell. For the calculated volume, the calculation gives 16.6 Å³/atom.

> Which formula does entry 2 have?

Ba2NdUN4